# 1
PPt2Pb, optimized geometry, DFT PBE; ΔE_f = -0.277 eV/atom; DOS at the Fermi energy = 0.502 states/eV/atom; total moment = 0.000 μB/atom; volume = 22.51 Å³ per atom
1.0
-0.4220 4.5668 -2.0880
-3.8602 1.0451 3.0659
2.3794 5.4188 5.2900
Pb Pt P
2 4 2
direct
0.7500 0.2500 0.5000 Pb
0.0000 0.0000 0.0000 Pb
0.5249 0.1250 0.2500 Pt
0.2251 0.6250 0.2500 Pt
0.8750 0.7749 0.7500 Pt
0.3750 0.4751 0.7500 Pt
0.2500 0.7500 0.5000 P
0.5000 0.5000 0.0000 P


# 2
Ba2Mg5Cd2, optimized geometry, DFT PBE; ΔE_f = -0.064 eV/atom; DOS at the Fermi energy = 0.951 states/eV/atom; total moment = 0.000 μB/atom; volume = 31.24 Å³ per atom
1.0
5.0127 0.0000 0.0000
0.0000 5.0127 0.0000
0.0000 0.0000 11.1903
Mg Cd Ba
5 2 2
direct
0.0000 0.5000 0.7251 Mg
0.5000 0.5000 0.5000 Mg
0.5000 0.0000 0.2749 Mg
0.5000 0.0000 0.7251 Mg
0.0000 0.5000 0.2749 Mg
0.5000 0.5000 0.1333 Cd
0.5000 0.5000 0.8667 Cd
0.0000 0.0000 0.0000 Ba
0.0000 0.0000 0.5000 Ba


# 3
Tl2Ir2PdS6, optimized geometry, DFT PBE; uncorrected formation energy = -0.324 eV per atom; DOS at the Fermi energy = 0.149 states/eV/atom; total moment = 0.000 μB/atom; volume = 22.43 Å³ per atom
1.0
6.3278 -0.0313 0.0386
-3.1548 5.4854 0.0386
-1.1522 -1.9804 7.1010
Ir Tl Pd S
2 2 1 6
direct
0.3325 0.6675 0.5000 Ir
0.6675 0.3325 0.5000 Ir
0.8320 0.1680 0.0000 Tl
0.1680 0.8320 0.0000 Tl
0.0000 0.0000 0.5000 Pd
0.9419 0.6038 0.3345 S
0.2802 0.2802 0.3367 S
0.6038 0.9419 0.3345 S
0.7198 0.7198 0.6633 S
0.3962 0.0581 0.6655 S
0.0581 0.3962 0.6655 S


# 4
Mg3SiC, optimized geometry, DFT PBE; uncorrected formation energy = 0.246 eV per atom; DOS at the Fermi energy = 0.741 states/eV/atom; total moment = 0.000 μB/atom; volume = 16.61 Å³ per atom
1.0
-1.4689 -0.0988 -4.1075
4.1046 -0.2296 -1.4623
-0.1830 -4.3562 0.1703
Mg C Si
3 1 1
direct
0.5000 0.0000 0.0000 Mg
0.0000 0.0000 0.5000 Mg
0.0000 0.5000 0.0000 Mg
0.0000 0.0000 0.0000 C
0.5000 0.5000 0.5000 Si


# 5
La3Tl4BiS8, optimized geometry, DFT PBE; uncorrected formation energy = -1.248 eV per atom; DOS at the Fermi energy = 0.000 states/eV/atom; total moment = 0.000 μB/atom; volume = 29.12 Å³ per atom
1.0
-4.6226 -0.4787 -7.1188
7.1054 -3.1074 -4.4050
-2.5405 -4.0984 7.0015
S Tl La Bi
8 4 3 1
direct
0.7660 0.2939 0.5320 S
0.7350 0.7049 0.4700 S
0.2340 0.7061 0.4680 S
0.7660 0.2939 0.0278 S
0.7383 0.7061 0.9722 S
0.2650 0.2951 0.5300 S
0.2340 0.7061 0.9722 S
0.2617 0.2939 0.0278 S
0.0000 0.0000 0.0000 Tl
0.5000 0.0000 0.5000 Tl
0.5000 0.0000 0.0000 Tl
0.0000 0.0000 0.5000 Tl
0.5000 0.5000 0.0000 La
0.0000 0.5000 0.5000 La
0.5000 0.5000 0.5000 La
0.0000 0.5000 0.0000 Bi


# 6
Sc2TaTcO, optimized geometry, DFT PBE; uncorrected formation energy = 1.259 eV per atom; DOS at the Fermi energy = 1.241 states/eV/atom; total moment = 0.165 μB/atom; volume = 24.98 Å³ per atom
1.0
5.2497 0.0000 0.0000
0.0000 4.5319 0.0000
0.0000 0.0000 5.2497
Ta O Tc Sc
1 1 1 2
direct
0.0000 0.0000 0.0000 Ta
0.5000 0.5000 0.5000 O
0.0000 0.5000 0.0000 Tc
0.0000 0.0000 0.5000 Sc
0.5000 0.0000 0.0000 Sc


# 7
LiTe2Cl, optimized geometry, DFT PBE; uncorrected formation energy = -0.718 eV per atom; DOS at the Fermi energy = 0.095 states/eV/atom; total moment = 0.000 μB/atom; volume = 34.03 Å³ per atom
1.0
-1.3442 -3.7396 0.5856
2.5455 -0.4106 3.2210
-4.5414 2.6732 6.6463
Te Li Cl
2 1 1
direct
0.0000 0.8228 0.0931 Te
0.5000 0.2292 0.2032 Te
0.5000 0.8639 0.5890 Li
0.0000 0.5841 0.6147 Cl


Which of these has the lowest volume? Mg3SiC